## MnCu2Cl6 (PBE)

Data for an optimized crystal structure of MnCu2Cl6.

Values from the calculation:
Volume (Å³/f.u.): 219
E_form (uncorrected) (meV per atom): -693
DOS(E_F) (states/eV/cell): 13.99
Magnetization (μB/f.u.): 2.9
Crystal system: monoclinic

Structure (CIF):
```
data_MnCu2Cl6
_cell_length_a 6.1328
_cell_length_b 6.2373
_cell_length_c 12.3615
_cell_angle_alpha 90.00
_cell_angle_beta 112.37
_cell_angle_gamma 90.00
_symmetry_space_group_name_H-M 'P 1 21/c 1'
_symmetry_Int_Tables_number 14
loop_
_symmetry_equiv_pos_as_xyz
'x,y,z'
'-x,-y,-z'
'-x,y+1/2,-z+1/2'
'x,-y+1/2,z+1/2'
loop_
_atom_site_label
_atom_site_type_symbol
_atom_site_fract_x
_atom_site_fract_y
_atom_site_fract_z
Mn1 Mn 0.0000 0.0000 0.0000
Cu1 Cu 0.4409 0.1347 0.8410
Cl1 Cl 0.0875 0.1792 0.8578
Cl2 Cl 0.2512 0.7268 0.0021
Cl3 Cl 0.3727 0.1784 0.1686
```